PmYHo3Er: relaxed, PBE-GGA.

Values from the calculation:
**Energy**: -28.766 eV/f.u.
**ΔH_f (0 K)**: 72 kJ/mol of formula units

abc: 5.716 6.509 11.453
angles: 90.00 90.00 116.05
Fractional coordinates of all 12 atoms:
1 Pm 0.525 0.050 0.750
2 Pm 0.475 0.950 0.250
3 Y 0.827 0.653 0.750
4 Y 0.173 0.347 0.250
5 Ho 0.674 0.347 0.472
6 Ho 0.326 0.653 0.528
7 Ho 0.326 0.653 0.972
8 Ho 0.674 0.347 0.028
9 Ho 0.140 0.281 0.750
10 Ho 0.860 0.719 0.250
11 Er 0.000 0.000 0.500
12 Er 0.000 0.000 0.000

***

PmYHo2Er5: relaxed, PBE-GGA.

Values from the calculation:
**Energy**: -40.531 eV/f.u.
**ΔH_f (0 K)**: 256 kJ/mol of formula units

abc: 8.948 8.948 9.604
angles: 117.76 117.76 90.00
Fractional coordinates of all 18 atoms:
1 Pm 0.250 0.250 0.500
2 Pm 0.750 0.750 0.500
3 Y 0.250 0.750 0.500
4 Y 0.750 0.250 0.500
5 Ho 0.112 0.388 0.000
6 Ho 0.612 0.112 0.000
7 Ho 0.388 0.888 0.000
8 Ho 0.888 0.612 0.000
9 Er 0.926 0.426 0.261
10 Er 0.664 0.164 0.739
11 Er 0.074 0.574 0.739
12 Er 0.164 0.074 0.739
13 Er 0.574 0.664 0.739
14 Er 0.836 0.926 0.261
15 Er 0.426 0.336 0.261
16 Er 0.336 0.836 0.261
17 Er 0.500 0.500 0.000
18 Er 0.000 0.000 0.000

***

Pm6YHo2Er3: relaxed, PBE-GGA.

Values from the calculation:
**Energy**: -57.654 eV/f.u.
**ΔH_f (0 K)**: 15 kJ/mol of formula units

abc: 6.228 6.228 11.786
angles: 95.03 95.03 119.98
Fractional coordinates of all 12 atoms:
1 Pm 0.916 0.582 0.749
2 Pm 0.750 0.750 0.251
3 Pm 0.084 0.418 0.251
4 Pm 0.582 0.916 0.749
5 Pm 0.250 0.250 0.749
6 Pm 0.418 0.084 0.251
7 Y 0.000 0.000 0.000
8 Ho 0.333 0.667 0.000
9 Ho 0.667 0.333 0.000
10 Er 0.167 0.833 0.500
11 Er 0.833 0.167 0.500
12 Er 0.500 0.500 0.500

***

PmYHo2Er: relaxed, PBE-GGA.

Values from the calculation:
**Energy**: -22.856 eV/f.u.
**ΔH_f (0 K)**: 200 kJ/mol of formula units

abc: 7.178 8.341 7.077
angles: 126.11 90.00 90.00
Fractional coordinates of all 10 atoms:
1 Pm 0.250 0.985 0.969
2 Pm 0.750 0.015 0.031
3 Y 0.750 0.731 0.462
4 Y 0.250 0.269 0.538
5 Ho 0.500 0.312 0.000
6 Ho 0.000 0.688 0.000
7 Ho 0.500 0.688 0.000
8 Ho 0.000 0.312 0.000
9 Er 0.250 0.714 0.429
10 Er 0.750 0.286 0.571

***

Pm2Y2HoEr2: relaxed, PBE-GGA.

Values from the calculation:
**Energy**: -35.164 eV/f.u.
**ΔH_f (0 K)**: 93 kJ/mol of formula units

abc: 5.690 5.690 8.785
angles: 71.10 71.10 60.00
Fractional coordinates of all 7 atoms:
1 Pm 0.139 0.139 0.584
2 Pm 0.861 0.861 0.416
3 Y 0.715 0.715 0.854
4 Y 0.285 0.285 0.146
5 Ho 0.000 0.000 0.000
6 Er 0.573 0.573 0.280
7 Er 0.427 0.427 0.720

***

PmHoErZr: relaxed, PBE-GGA.

Values from the calculation:
**Energy**: -21.564 eV/f.u.
**ΔH_f (0 K)**: 84 kJ/mol of formula units

abc: 5.499 5.499 5.499
angles: 60.00 60.00 60.00
Fractional coordinates of all 4 atoms:
1 Pm 0.750 0.750 0.750
2 Ho 0.000 0.000 0.000
3 Zr 0.250 0.250 0.250
4 Er 0.500 0.500 0.500

***

Pm2Ho6Er3Zr: relaxed, PBE-GGA.

Values from the calculation:
**Energy**: -58.595 eV/f.u.
**ΔH_f (0 K)**: 59 kJ/mol of formula units

abc: 6.075 6.075 11.620
angles: 94.97 94.97 119.92
Fractional coordinates of all 12 atoms:
1 Pm 0.333 0.667 0.000
2 Pm 0.667 0.333 0.000
3 Ho 0.917 0.591 0.752
4 Ho 0.756 0.756 0.247
5 Ho 0.083 0.409 0.248
6 Ho 0.591 0.917 0.752
7 Ho 0.244 0.244 0.753
8 Ho 0.409 0.083 0.248
9 Er 0.166 0.834 0.500
10 Er 0.834 0.166 0.500
11 Er 0.500 0.500 0.500
12 Zr 0.000 0.000 0.000

***

Pm3Ho6Er2Zr: relaxed, PBE-GGA.

Values from the calculation:
**Energy**: -58.882 eV/f.u.
**ΔH_f (0 K)**: 49 kJ/mol of formula units

abc: 6.100 6.100 11.641
angles: 94.99 94.99 119.93
Fractional coordinates of all 12 atoms:
1 Pm 0.166 0.834 0.500
2 Pm 0.834 0.166 0.500
3 Pm 0.500 0.500 0.500
4 Ho 0.920 0.593 0.759
5 Ho 0.754 0.754 0.241
6 Ho 0.080 0.407 0.241
7 Ho 0.593 0.920 0.759
8 Ho 0.246 0.246 0.759
9 Ho 0.407 0.080 0.241
10 Er 0.333 0.667 0.000
11 Er 0.667 0.333 0.000
12 Zr 0.000 0.000 0.000

***

Pr5HoEr2: relaxed, PBE-GGA.

Values from the calculation:
**Polymorph energy (0 for the lowest one)**: 91 meV/atom
**Energy**: -35.926 eV/f.u.
**ΔH_f (0 K)**: 162 kJ/mol of formula units

abc: 9.827 9.827 13.472
angles: 45.10 45.10 76.65
Fractional coordinates of all 16 atoms:
1 Pr 0.511 0.489 0.750
2 Pr 0.489 0.511 0.250
3 Pr 0.457 0.983 0.769
4 Pr 0.002 0.985 0.131
5 Pr 0.983 0.457 0.269
6 Pr 0.015 0.998 0.369
7 Pr 0.985 0.002 0.631
8 Pr 0.998 0.015 0.869
9 Pr 0.017 0.543 0.731
10 Pr 0.543 0.017 0.231
11 Ho 0.758 0.242 0.250
12 Ho 0.242 0.758 0.750
13 Er 0.500 0.000 0.000
14 Er 0.500 0.500 0.000
15 Er 0.500 0.500 0.500
16 Er 0.000 0.500 0.500

***

PrHo4Er4: relaxed, PBE-GGA.

Values from the calculation:
**Polymorph energy (0 for the lowest one)**: 14 meV/atom
**Energy**: -40.997 eV/f.u.
**ΔH_f (0 K)**: 33 kJ/mol of formula units

abc: 8.608 9.574 10.973
angles: 107.45 86.97 137.06
Fractional coordinates of all 18 atoms:
1 Pr 0.076 0.044 0.784
2 Pr 0.924 0.956 0.216
3 Ho 0.289 0.952 0.539
4 Ho 0.189 0.849 0.961
5 Ho 0.473 0.811 0.703
6 Ho 0.155 0.489 0.370
7 Ho 0.845 0.511 0.630
8 Ho 0.527 0.189 0.297
9 Ho 0.811 0.151 0.039
10 Ho 0.711 0.048 0.461
11 Er 0.040 0.371 0.792
12 Er 0.370 0.707 0.124
13 Er 0.270 0.291 0.546
14 Er 0.397 0.373 0.120
15 Er 0.730 0.709 0.454
16 Er 0.603 0.627 0.880
17 Er 0.960 0.629 0.208
18 Er 0.630 0.293 0.876

***

Pr4Ho5Er: relaxed, PBE-GGA.

Values from the calculation:
**Polymorph energy (0 for the lowest one)**: 41 meV/atom
**Energy**: -44.251 eV/f.u.
**ΔH_f (0 K)**: 224 kJ/mol of formula units

abc: 5.965 8.150 8.150
angles: 82.30 68.53 68.53
Fractional coordinates of all 10 atoms:
1 Pr 0.448 0.323 0.677
2 Pr 0.771 0.677 0.677
3 Pr 0.125 0.323 0.323
4 Pr 0.448 0.677 0.323
5 Ho 0.765 0.376 0.000
6 Ho 0.141 0.000 0.624
7 Ho 0.765 0.000 0.376
8 Ho 0.141 0.624 0.000
9 Ho 0.692 0.000 0.000
10 Er 0.214 0.000 0.000

***

PrHo2Er4: relaxed, PBE-GGA.

Values from the calculation:
**Polymorph energy (0 for the lowest one)**: 0 meV/atom
**Energy**: -31.943 eV/f.u.
**ΔH_f (0 K)**: 24 kJ/mol of formula units

abc: 3.513 9.388 8.458
angles: 121.48 78.01 111.94
Fractional coordinates of all 7 atoms:
1 Pr 0.000 0.000 0.000
2 Ho 0.360 0.430 0.141
3 Ho 0.640 0.570 0.859
4 Er 0.411 0.705 0.588
5 Er 0.810 0.167 0.715
6 Er 0.589 0.295 0.412
7 Er 0.190 0.833 0.285